NaNi4P3O12: optimized geometry, GGA+U.

## Properties
Volume ... 393.77 Å³ per cell
Electronic total energy ... -227.269 eV per cell
Total magnetic moment ... 16.2 μB per cell

Cell lengths 7.3296, 7.3296, 7.3296 Å; angles 90.00, 90.00, 90.00 degrees
With the nearest neighbours (Å) after each atom.
Space group Im-3 (No. 204)
One atom of each set of equivalent atoms:
Na (0.0000, 0.0000, 0.0000) x2  12 O 2.75
Ni (0.2500, 0.2500, 0.2500) x8  6 O 2.07
P (0.0000, 0.0000, 0.5000) x6  4 O 1.64
O (0.0000, 0.1564, 0.3408) x24  1 P 1.64